Compound: TiGaAu
Source: Alexandria
Functional: GGA-PBE
Structure: relaxed

Lattice parameters (Å, degrees): 4.069 3.986 6.481 90.00 108.22 90.00
Space group P2/m (No. 10)
Unique sites:
Ti  0.000  0.000  0.000
Ti  0.500  0.500  0.000
Ga  0.163  0.500  0.326
Au  0.339  0.000  0.676

**Energy of formation**: -0.350 eV/atom
**M_tot**: 0.0 μB per formula unit
**Volume**: 99.84 Å³ per cell
**Density**: 10.46 g/cm³